Record 1
Crystalline Rb3IBrCl at its relaxed geometry, computed with GGA-PBE.

Total energy = -3.020 eV per atom
ΔE_f (raw) = -1.69 eV/atom
SG = P2_1/m (11)

Cell: 4.8357 8.6089 13.2257 Å, 102.35 90.00 90.00°
Last column: nearest neighbours and their distance in Å.
Fractional coordinates of all 12 atoms:
Rb 0.2500 0.7554 0.4992  3 Br 3.35-3.40
Rb 0.7500 0.0386 0.1500  1 Br 3.35, 3 Cl 3.35-3.46
Rb 0.7500 0.5605 0.1511  1 Br 3.35, 3 Cl 3.37-3.47
Rb 0.7500 0.2446 0.5008  3 Br 3.35-3.40
Rb 0.2500 0.4395 0.8489  1 Br 3.35, 3 Cl 3.37-3.47
Rb 0.2500 0.9614 0.8500  1 Br 3.35, 3 Cl 3.35-3.46
I 0.7500 0.6478 0.7014  7 Rb 3.79-3.89
I 0.2500 0.3522 0.2986  7 Rb 3.79-3.89
Br 0.2500 0.1324 0.6454  5 Rb 3.35-3.40
Br 0.7500 0.8676 0.3546  5 Rb 3.35-3.40
Cl 0.2500 0.7649 0.0432  6 Rb 3.35-3.47
Cl 0.7500 0.2351 0.9568  6 Rb 3.35-3.47

***

Record 2
Crystalline Nb2VW3 at its relaxed geometry, computed with GGA-PBE.

Total energy = -11.039 eV per atom
SG = C2/m (12)
Formation energy from the elements = 30.2 kJ/mol of atoms

Cell: 4.5068 6.9066 7.0927 Å, 95.89 108.52 90.00°
Last column: nearest neighbours and their distance in Å.
Fractional coordinates of all 12 atoms:
Nb 0.4593 0.8058 0.9187  5 W 2.72-2.76, 2 V 2.74, 1 Nb 2.79
Nb 0.5407 0.1942 0.0813  5 W 2.72-2.76, 2 V 2.74, 1 Nb 2.79
Nb 0.2313 0.6514 0.4626  3 V 2.73-2.75, 5 W 2.77-2.79
Nb 0.7687 0.3486 0.5374  3 V 2.73-2.75, 5 W 2.77-2.79
V 0.1537 0.2698 0.3073  2 W 2.72-2.74, 5 Nb 2.73-2.75
V 0.8463 0.7302 0.6927  2 W 2.72-2.74, 5 Nb 2.73-2.75
W 0.6929 0.9568 0.3858  5 W 2.70-2.77, 1 V 2.72, 2 Nb 2.76-2.79
W 0.0753 0.8866 0.1506  3 W 2.69-2.77, 1 V 2.74, 3 Nb 2.76-2.79
W 0.3868 0.4192 0.7736  1 W 2.70, 5 Nb 2.72-2.77
W 0.6132 0.5808 0.2264  1 W 2.70, 5 Nb 2.72-2.77
W 0.9247 0.1134 0.8494  3 W 2.69-2.77, 1 V 2.74, 3 Nb 2.76-2.79
W 0.3071 0.0432 0.6142  5 W 2.70-2.77, 1 V 2.72, 2 Nb 2.76-2.79

***

One value per record, in order, for total magnetic moment: 0.00; 0.00 μB/f.u..